A relaxed Li2VSiO4 crystal. Source: the Alexandria database, functional PBE+U.

```
data_Li2VSiO4
_symmetry_space_group_name_H-M 'P m n 21'
_symmetry_Int_Tables_number 31
_cell_length_a 6.763
_cell_length_b 5.261
_cell_length_c 4.804
_cell_angle_alpha 90.00
_cell_angle_beta 90.00
_cell_angle_gamma 90.00
loop_
_symmetry_equiv_pos_as_xyz
'x,y,z'
'-x+1/2,-y,z+1/2'
'-x,y,z'
'x+1/2,-y,z+1/2'
loop_
_atom_site_label
_atom_site_fract_x
_atom_site_fract_y
_atom_site_fract_z
Li1 0.250 0.176 0.000
V1 0.000 0.304 0.481
Si1 0.000 0.674 0.018
O1 0.000 0.365 0.938
O2 0.000 0.689 0.362
O3 0.203 0.813 0.906
```

Density, Mg/m³: 3.0
Crystal system: orthorhombic
E, eV/atom: -6.818